Compound: CrCF2
Source: Alexandria via LeMat-Bulk
Functional: PBE with a Hubbard U
Structure: relaxed

Properties
**N(E_F)**: 0.186 states/eV/atom
**E**: -4.539 eV/atom
**Energy above the lowest structure with this stoichiometry**: 844.0 meV per atom

Geometry as CIF:
```
data_CrCF2
_cell_length_a 2.8785
_cell_length_b 2.8785
_cell_length_c 21.9804
_cell_angle_alpha 90.00
_cell_angle_beta 90.00
_cell_angle_gamma 120.00
_space_group_name_H-M_alt 'R -3 m'
_space_group_IT_number 166
_space_group_name_Hall '-R 3 2"'
loop_
_atom_site_label
_atom_site_type_symbol
_atom_site_fract_x
_atom_site_fract_y
_atom_site_fract_z
Cr1 Cr 0.0000 0.0000 0.0000
C1 C 0.0000 0.0000 0.5000
F1 F 0.0000 0.0000 0.0866
```